Entry 1:
# DyThCoCl GGA-PBE relaxed
# DFT total energy (eV/atom): -6.07
# Magnetization (μB per cell): 0.000
# Formation energy (no corrections) (eV/atom): -0.82
data_DyThCoCl
_chemical_formula_sum 'Dy3 Th3 Co3 Cl3'
_space_group_name_H-M_alt 'R 3 m'
_space_group_IT_number 160
_space_group_name_Hall 'R 3 -2"'
_cell_length_a 3.9404
_cell_length_b 3.9404
_cell_length_c 22.6748
_cell_angle_alpha 90.00
_cell_angle_beta 90.00
_cell_angle_gamma 120.00
loop_
_atom_site_label
_atom_site_type_symbol
_atom_site_fract_x
_atom_site_fract_y
_atom_site_fract_z
Dy1 Dy 0.0000 0.0000 0.0000
Th1 Th 0.0000 0.0000 0.7922
Co1 Co 0.0000 0.0000 0.4009
Cl1 Cl 0.0000 0.0000 0.2336

---

Entry 2:
# ZrSbRu2 GGA-PBE relaxed
# DFT total energy (eV/atom): -8.12
# Magnetization (μB per cell): 0.000
# Formation energy (no corrections) (eV/atom): -0.31
data_ZrSbRu2
_chemical_formula_sum 'Zr2 Sb2 Ru4'
_space_group_name_H-M_alt 'C 1 m 1'
_space_group_IT_number 8
_space_group_name_Hall 'C -2y'
_cell_length_a 9.7141
_cell_length_b 3.3133
_cell_length_c 4.5317
_cell_angle_alpha 90.00
_cell_angle_beta 105.87
_cell_angle_gamma 90.00
loop_
_atom_site_label
_atom_site_type_symbol
_atom_site_fract_x
_atom_site_fract_y
_atom_site_fract_z
Zr1 Zr 0.0000 0.0000 0.0000
Sb1 Sb 0.2383 0.0000 0.6294
Ru1 Ru 0.0035 0.5000 0.5067
Ru2 Ru 0.2393 0.5000 0.1236

---

Entry 3:
# Ga2PdRh2 GGA-PBE relaxed
# DFT total energy (eV/atom): -5.28
# Formation energy (eV per atom): -0.0888
# Magnetization (μB per cell): 0.000
data_Ga2PdRh2
_chemical_formula_sum 'Ga4 Pd2 Rh4'
_space_group_name_H-M_alt 'I 4/m m m'
_space_group_IT_number 139
_space_group_name_Hall '-I 4 2'
_cell_length_a 3.6764
_cell_length_b 3.6764
_cell_length_c 11.8976
_cell_angle_alpha 90.00
_cell_angle_beta 90.00
_cell_angle_gamma 90.00
loop_
_atom_site_label
_atom_site_type_symbol
_atom_site_fract_x
_atom_site_fract_y
_atom_site_fract_z
Ga1 Ga 0.0000 0.5000 0.2500
Pd1 Pd 0.0000 0.0000 0.0000
Rh1 Rh 0.0000 0.0000 0.3941

---

Entry 4:
# TaIr2Se GGA-PBE relaxed
# DFT total energy (eV/atom): -8.17
# Magnetization (μB per cell): 0.000
# Formation energy (no corrections) (eV/atom): 0.10
data_TaIr2Se
_chemical_formula_sum 'Ta1 Ir2 Se1'
_space_group_name_H-M_alt 'P m m 2'
_space_group_IT_number 25
_space_group_name_Hall 'P 2 -2'
_cell_length_a 2.8968
_cell_length_b 3.5076
_cell_length_c 6.3571
_cell_angle_alpha 90.00
_cell_angle_beta 90.00
_cell_angle_gamma 90.00
loop_
_atom_site_label
_atom_site_type_symbol
_atom_site_fract_x
_atom_site_fract_y
_atom_site_fract_z
Ta1 Ta 0.0000 0.0000 0.0000
Ir1 Ir 0.0000 0.0000 0.4867
Ir2 Ir 0.5000 0.5000 0.2343
Se1 Se 0.5000 0.5000 0.7225

---

DOS(E_F) for the records above, in order: 0.74; 0.59; 1.02; 0.89 states/eV/atom